Below is a geometry-optimized TbInPd structure, with properties calculated at the GGA-PBE level.

Output
Energy of formation, meV per atom: -813.0
ρ, g cm⁻³: 9.47
E, Ha/atom: -0.184

abc: 7.766 7.766 3.829
angles: 90.00 90.00 120.00
Sites, in units of the cell vectors:
Tb 0.592 0.000 0.500
Tb 0.408 0.408 0.500
Tb 0.000 0.592 0.500
In 0.740 0.740 0.000
In 0.260 0.000 0.000
In 0.000 0.260 0.000
Pd 0.000 0.000 0.500
Pd 0.667 0.333 0.000
Pd 0.333 0.667 0.000